The following is a DFT calculation (PBE) of a relaxed structure of Er8Os2Pt.

```
11
Lattice="4.7378 0.0000 0.0000 0.0000 6.9003 0.1355 -2.3689 -2.7934 8.2700" Properties=species:S:1:pos:R:3 pbc="T T T"
Er 0.0000 1.4653 6.7188
Er 2.3689 5.6908 2.9357
Er 2.3689 3.0926 4.9386
Er 2.3689 -1.1393 7.7746
Er 0.0000 1.0143 3.4668
Er 0.0000 -1.5839 5.4697
Er 2.3689 2.6415 1.6866
Er 0.0000 5.2462 0.6308
Os 2.3689 0.2957 5.2582
Os 0.0000 3.8112 3.1473
Pt 2.3689 0.0000 0.0000
```

Output
crystal system: monoclinic
formation enthalpy at 0 K: -4.6 eV per formula unit
SG: No. 12